# 1
DyTmSiGeOs | PBE | relaxed

Cell and atoms, written as POSCAR:
```
DyTmSiGeOs
1.0
5.374 -2.137 0.000
5.374 2.137 0.000
-4.781 0.000 8.740
Dy Tm Si Ge Os
2 2 2 2 2
direct
0.007 0.007 0.181
0.993 0.993 0.819
0.181 0.181 0.610
0.819 0.819 0.390
0.495 0.495 0.622
0.505 0.505 0.378
0.357 0.357 0.937
0.643 0.643 0.063
0.275 0.275 0.137
0.725 0.725 0.863
```

**Raw total energy**: -67.611 eV for the cell shown
**Calculated volume**: 20.08 Å³/atom
**Space group**: No. 12



# 2
DyTmGe4Os2 | PBE | relaxed

Cell and atoms, written as POSCAR:
```
DyTmGe4Os2
1.0
4.426 0.000 0.000
0.000 4.457 0.000
-2.150 0.000 7.981
Dy Tm Ge Os
1 1 4 2
direct
0.000 0.000 0.000
0.749 0.500 0.580
0.058 0.500 0.305
0.339 0.000 0.707
0.414 0.500 0.876
0.701 0.000 0.280
0.278 0.000 0.410
0.481 0.500 0.175
```

**Raw total energy**: -53.467 eV for the cell shown
**Calculated volume**: 19.68 Å³/atom
**Space group**: No. 6